P.
Hf3TaCo: optimized geometry, PBE.

abc: 4.7281 4.7281 4.7281
angles: 90.00 90.00 90.00
Element x y z (fractional)
Ta 0.5000 0.5000 0.5000
Hf 0.0000 0.0000 0.5000
Hf 0.5000 0.0000 0.0000
Hf 0.0000 0.5000 0.0000
Co 0.0000 0.0000 0.0000

- mass density (g/cm³) = 12.18

---

Q.
Hf3TaCo: optimized geometry, PBE.

abc: 5.0207 5.0207 5.0207
angles: 90.00 90.00 90.00
Element x y z (fractional)
Co 0.5000 0.5000 0.5000
Hf 0.0000 0.0000 0.5000
Hf 0.0000 0.5000 0.0000
Hf 0.5000 0.0000 0.0000
Ta 0.0000 0.0000 0.0000

- mass density (g/cm³) = 10.17

---

Which of the structures shown above is the most stable? The most stable is P.